HgAu2Cl after structural relaxation. Source: Alexandria via LeMat-Bulk, functional GGA-PBE.

Geometry as extended XYZ:
```
4
Lattice="-1.039 1.348 -3.072 -2.392 -3.094 -0.549 -5.062 3.351 3.182" Properties=species:S:1:pos:R:3 pbc="T T T"
Au -5.385 2.394 2.872
Au -3.404 1.085 1.627
Hg -6.110 0.867 0.439
Cl -2.383 0.738 -0.878
```

Symmetry: Pmmm
V: 23.8 A^3/atom
E_form (uncorrected): 0.053 eV/atom
ΔE to the lowest computed polymorph: 0.087 eV per atom

YCu8Pd3 after structural relaxation. Source: Alexandria via LeMat-Bulk, functional GGA-PBE.

Geometry as extended XYZ:
```
12
Lattice="4.919 0.000 0.000 -2.459 4.260 0.000 0.000 0.000 8.020" Properties=species:S:1:pos:R:3 pbc="T T T"
Y 0.000 0.000 4.540
Cu 0.000 2.840 3.996
Cu 0.000 2.840 8.004
Cu 2.459 0.030 6.091
Cu 1.255 2.115 6.091
Cu 3.664 2.115 6.091
Cu 0.000 1.403 1.933
Cu -1.245 3.558 1.933
Cu 1.245 3.558 1.933
Pd 2.459 1.420 3.448
Pd 2.459 1.420 0.524
Pd 0.000 0.000 7.547
```

Total energy: -57.326 eV for the cell shown
Symmetry: P3m1
V: 14.0 A^3/atom

NaZnCu4 after structural relaxation. Source: Alexandria via LeMat-Bulk, functional GGA-PBE.

Geometry as extended XYZ:
```
6
Lattice="4.976 0.000 0.000 2.488 4.309 0.000 2.488 1.436 4.063" Properties=species:S:1:pos:R:3 pbc="T T T"
Na 0.000 0.000 0.000
Zn 2.488 1.436 1.016
Cu 4.976 2.873 0.515
Cu 4.976 1.443 2.537
Cu 6.214 3.588 2.537
Cu 3.737 3.588 2.537
```

Total energy: -18.472 eV for the cell shown
Symmetry: F-43m
V: 14.5 A^3/atom

Which of these has the highest V? HgAu2Cl